Crystalline InFe3As at its relaxed geometry. Source: Alexandria, functional PBE-GGA.

Computed properties:
relative energy among the computed polymorphs	0	meV per atom

a = 4.3925 Å, b = 4.3925 Å, c = 4.3925 Å
α = 90.00°, β = 90.00°, γ = 90.00°
Last column: nearest neighbours and their distance in Å.
Space group Pm-3m (No. 221)
Asymmetric unit:
1 In 0.0000 0.0000 0.0000  12 Fe 3.11
2 Fe 0.0000 0.5000 0.5000  2 As 2.20
3 As 0.5000 0.5000 0.5000  6 Fe 2.20

***

Crystalline InFe2As at its relaxed geometry. Source: Alexandria, functional PBE-GGA.

Computed properties:
relative energy among the computed polymorphs	0	meV per atom

a = 3.1052 Å, b = 3.1052 Å, c = 6.8123 Å
α = 90.00°, β = 90.00°, γ = 90.00°
Last column: nearest neighbours and their distance in Å.
Space group P4mm (No. 99)
Asymmetric unit:
1 In 0.0000 0.0000 0.0000  5 Fe 2.77-2.99
2 Fe 0.0000 0.0000 0.5618  4 As 2.51, 4 Fe 2.55
3 Fe 0.5000 0.5000 0.7527  1 As 2.52, 4 Fe 2.55, 4 In 2.77
4 As 0.5000 0.5000 0.3833  5 Fe 2.51-2.52

***

Crystalline InFe3As at its relaxed geometry. Source: Alexandria, functional PBE-GGA.

Computed properties:
relative energy among the computed polymorphs	1038	meV per atom

a = 4.7508 Å, b = 4.7508 Å, c = 4.7508 Å
α = 90.00°, β = 90.00°, γ = 90.00°
Last column: nearest neighbours and their distance in Å.
Space group Pm-3m (No. 221)
Asymmetric unit:
1 In 0.0000 0.0000 0.0000  6 Fe 2.38
2 Fe 0.0000 0.0000 0.5000  2 In 2.38
3 As 0.5000 0.5000 0.5000  12 Fe 3.36

***

Crystalline InFe2As at its relaxed geometry. Source: Alexandria, functional PBE-GGA.

Computed properties:
relative energy among the computed polymorphs	249	meV per atom

a = 3.4193 Å, b = 4.7554 Å, c = 7.7648 Å
α = 90.00°, β = 90.00°, γ = 90.00°
Last column: nearest neighbours and their distance in Å.
Space group Immm (No. 71)
Asymmetric unit:
1 In 0.0000 0.0000 0.0000  8 Fe 2.77-2.92, 4 As 2.93
2 Fe 0.0000 0.5000 0.2190  2 As 2.41
3 As 0.0000 0.0000 0.5000  4 Fe 2.41

***

Crystalline InFe2As2 at its relaxed geometry. Source: Alexandria, functional PBE-GGA.

Computed properties:
relative energy among the computed polymorphs	155	meV per atom

a = 3.7582 Å, b = 3.7582 Å, c = 11.2479 Å
α = 90.00°, β = 90.00°, γ = 90.00°
Last column: nearest neighbours and their distance in Å.
Space group I4/mmm (No. 139)
Asymmetric unit:
1 In 0.0000 0.0000 0.0000  8 Fe 2.99
2 Fe 0.0000 0.0000 0.3785  4 As 2.37
3 As 0.0000 0.5000 0.2500  4 Fe 2.37

***

Crystalline InFeAs at its relaxed geometry. Source: Alexandria, functional PBE-GGA.

Computed properties:
E	-5.07	eV per atom

a = 6.0410 Å, b = 6.0410 Å, c = 6.0410 Å
α = 90.00°, β = 90.00°, γ = 90.00°
Last column: nearest neighbours and their distance in Å.
Space group F-43m (No. 216)
Asymmetric unit:
1 In 0.0000 0.0000 0.0000  4 Fe 2.62
2 Fe 0.2500 0.2500 0.2500  4 As 2.62, 4 In 2.62
3 As 0.0000 0.0000 0.5000  4 Fe 2.62

***

Crystalline InFe2As at its relaxed geometry. Source: Alexandria, functional PBE-GGA.

Computed properties:
relative energy among the computed polymorphs	127	meV per atom

a = 7.8775 Å, b = 3.0626 Å, c = 6.3567 Å
α = 90.00°, β = 109.18°, γ = 90.00°
Last column: nearest neighbours and their distance in Å.
Space group Cm (No. 8)
Asymmetric unit:
1 In 0.0000 0.0000 0.0000  5 Fe 2.74-2.94, 2 In 3.06
2 Fe 0.0303 0.5000 0.4053  3 Fe 2.42-2.45, 3 As 2.45-2.48
3 Fe 0.2822 0.5000 0.2587  3 Fe 2.42-2.45, 2 As 2.48
4 As 0.2884 0.0000 0.5682  5 Fe 2.45-2.48

***

Crystalline InFeAs at its relaxed geometry. Source: Alexandria, functional PBE-GGA.

Computed properties:
E	-5.16	eV per atom

a = 3.0988 Å, b = 3.0988 Å, c = 11.0445 Å
α = 90.00°, β = 90.00°, γ = 90.00°
Last column: nearest neighbours and their distance in Å.
Space group I4mm (No. 107)
Asymmetric unit:
1 In 0.0000 0.0000 0.0000  4 Fe 2.90, 1 As 3.02, 4 In 3.10
2 Fe 0.0000 0.0000 0.3282  4 As 2.46
3 As 0.0000 0.0000 0.7264  4 Fe 2.46